[1]
La2PrSn3Ir2Pd: optimized geometry, PBE-GGA.

Final energy   -6.34 eV/atom
Symmetry   Amm2

a b c (Å): 4.2195 7.6024 7.6024
angles (deg): 120.26 90.00 90.00
With the nearest neighbours (Å) after each atom.
Fractional positions:
La 0.0000 0.2089 0.7911  4 Ir 3.09-3.10, 1 Pd 3.18, 2 Sn 3.28
La 0.0000 0.7911 0.2089  4 Ir 3.09-3.10, 1 Pd 3.18, 2 Sn 3.28
Pr 0.0000 0.6243 0.6243  4 Ir 3.13, 1 Pd 3.14, 6 Sn 3.27-3.45
Sn 0.5000 0.2112 0.4627  2 Pd 2.85, 2 Ir 2.88-2.89
Sn 0.5000 0.4627 0.2112  2 Pd 2.85, 2 Ir 2.88-2.89
Sn 0.5000 0.9544 0.9544  2 Pd 2.86, 2 Ir 2.88
Ir 0.5000 0.5428 0.8788  3 Sn 2.88-2.89, 4 La 3.09-3.10, 2 Pr 3.13
Ir 0.5000 0.8788 0.5428  3 Sn 2.88-2.89, 4 La 3.09-3.10, 2 Pr 3.13
Pd 0.0000 0.2097 0.2097  6 Sn 2.85-2.86, 1 Pr 3.14, 2 La 3.18

[2]
NdBiNO: optimized geometry, PBE-GGA.

Distance to the lowest polymorph of the same formula   0.248 eV/atom
Final energy   -6.38 eV/atom
Symmetry   P4/nmm

a b c (Å): 4.4597 4.4597 7.4637
angles (deg): 90.00 90.00 90.00
With the nearest neighbours (Å) after each atom.
Fractional positions:
Nd 0.2500 0.2500 0.1090  4 O 2.37
Nd 0.7500 0.7500 0.8910  4 O 2.37
Bi 0.2500 0.7500 0.5000  4 N 2.54
Bi 0.7500 0.2500 0.5000  4 N 2.54
N 0.2500 0.2500 0.6637  4 Bi 2.54
N 0.7500 0.7500 0.3363  4 Bi 2.54
O 0.2500 0.7500 0.0000  4 Nd 2.37
O 0.7500 0.2500 0.0000  4 Nd 2.37